1.
CsCuHg3: PBEsol geometry, SCAN.

Values from the calculation:
- Uncorrected energy: -258.33 eV per cell
- Distance to the lowest polymorph of the same formula: 0.000 eV/atom
- Density: 9.46 Mg/m³
- Calculated formation energy: -0.164 eV/atom

extended XYZ file:
```
5
Lattice="5.193 0.000 0.000 0.000 5.193 0.000 0.000 0.000 5.193" Properties=species:S:1:pos:R:3 pbc="T T T"
Cs 0.000 0.000 0.000
Cu 2.597 2.597 2.597
Hg 0.000 2.597 2.597
Hg 2.597 0.000 2.597
Hg 2.597 2.597 0.000
```



2.
TcBN3: PBEsol geometry, SCAN.

Values from the calculation:
- Uncorrected energy: -63.84 eV per cell
- ΔE_f (raw): 6.5 eV per formula unit
- Density: 6.76 Mg/m³

extended XYZ file:
```
5
Lattice="3.333 0.000 0.000 0.000 3.333 0.000 0.000 0.000 3.333" Properties=species:S:1:pos:R:3 pbc="T T T"
Tc 0.000 0.000 0.000
B 1.667 1.667 1.667
N 0.000 1.667 1.667
N 1.667 0.000 1.667
N 1.667 1.667 0.000
```